# Ga2Pd7Pt2 | the Alexandria database | GGA-PBE | relaxed
# ΔE to the lowest computed polymorph, meV per atom: 73
data_Ga2Pd7Pt2
_chemical_formula_sum 'Ga2 Pd7 Pt2'
_symmetry_space_group_name_H-M 'P -1'
_symmetry_Int_Tables_number 2
_symmetry_space_group_name_Hall '-P 1'
_cell_length_a 5.075
_cell_length_b 5.961
_cell_length_c 6.349
_cell_angle_alpha 102.70
_cell_angle_beta 102.42
_cell_angle_gamma 105.34
loop_
_atom_site_label
_atom_site_type_symbol
_atom_site_fract_x
_atom_site_fract_y
_atom_site_fract_z
Ga1 Ga 0.188 0.337 0.256
Pd1 Pd 0.253 0.022 0.958
Pd2 Pd 0.286 0.643 0.629
Pd3 Pd 0.305 0.129 0.565
Pd4 Pd 0.500 0.500 0.000
Pt1 Pt 0.090 0.712 0.202

The following is a DFT calculation (GGA-PBE) of crystalline Ga2PdPt9 at its relaxed geometry.

Geometry as CIF:
```
data_Ga2PdPt9
_chemical_formula_sum 'Ga2 Pd1 Pt9'
_symmetry_space_group_name_H-M 'P 4/m m m'
_symmetry_Int_Tables_number 123
_symmetry_space_group_name_Hall '-P 4 2'
_cell_length_a 3.956
_cell_length_b 3.956
_cell_length_c 11.825
_cell_angle_alpha 90.00
_cell_angle_beta 90.00
_cell_angle_gamma 90.00
loop_
_atom_site_label
_atom_site_type_symbol
_atom_site_fract_x
_atom_site_fract_y
_atom_site_fract_z
Ga1 Ga 0.000 0.000 0.168
Pd1 Pd 0.000 0.000 0.500
Pt1 Pt 0.000 0.500 0.000
Pt2 Pt 0.000 0.500 0.329
Pt3 Pt 0.500 0.500 0.164
Pt4 Pt 0.500 0.500 0.500
```

# GaPd3Pt | the Alexandria database | GGA-PBE | relaxed
# ΔE to the lowest computed polymorph, meV per atom: 0
data_GaPd3Pt
_chemical_formula_sum 'Ga4 Pd12 Pt4'
_symmetry_space_group_name_H-M 'P n m a'
_symmetry_Int_Tables_number 62
_symmetry_space_group_name_Hall '-P 2ac 2n'
_cell_length_a 5.586
_cell_length_b 3.926
_cell_length_c 13.853
_cell_angle_alpha 90.00
_cell_angle_beta 90.00
_cell_angle_gamma 90.00
loop_
_atom_site_label
_atom_site_type_symbol
_atom_site_fract_x
_atom_site_fract_y
_atom_site_fract_z
Ga1 Ga 0.128 0.250 0.147
Pd1 Pd 0.123 0.250 0.947
Pd2 Pd 0.125 0.250 0.347
Pd3 Pd 0.129 0.250 0.749
Pt1 Pt 0.127 0.250 0.551

# Ga6PdPt2 | the Alexandria database | GGA-PBE | relaxed
# ΔE to the lowest computed polymorph, meV per atom: 158
data_Ga6PdPt2
_chemical_formula_sum 'Ga12 Pd2 Pt4'
_symmetry_space_group_name_H-M 'P 42/m n m'
_symmetry_Int_Tables_number 136
_symmetry_space_group_name_Hall '-P 4n 2n'
_cell_length_a 6.237
_cell_length_b 6.237
_cell_length_c 9.777
_cell_angle_alpha 90.00
_cell_angle_beta 90.00
_cell_angle_gamma 90.00
loop_
_atom_site_label
_atom_site_type_symbol
_atom_site_fract_x
_atom_site_fract_y
_atom_site_fract_z
Ga1 Ga 0.218 0.218 0.000
Ga2 Ga 0.219 0.219 0.333
Pd1 Pd 0.000 0.000 0.500
Pt1 Pt 0.000 0.000 0.169

The following is a DFT calculation (GGA-PBE) of crystalline GaPd2Pt at its relaxed geometry.

Geometry as CIF:
```
data_GaPd2Pt
_chemical_formula_sum 'Ga1 Pd2 Pt1'
_symmetry_space_group_name_H-M 'P 4/m m m'
_symmetry_Int_Tables_number 123
_symmetry_space_group_name_Hall '-P 4 2'
_cell_length_a 2.914
_cell_length_b 2.914
_cell_length_c 7.094
_cell_angle_alpha 90.00
_cell_angle_beta 90.00
_cell_angle_gamma 90.00
loop_
_atom_site_label
_atom_site_type_symbol
_atom_site_fract_x
_atom_site_fract_y
_atom_site_fract_z
Ga1 Ga 0.000 0.000 0.000
Pd1 Pd 0.500 0.500 0.225
Pt1 Pt 0.000 0.000 0.500
```

The following is a DFT calculation (GGA-PBE) of crystalline Ga5Pd2Pt2 at its relaxed geometry.

Geometry as CIF:
```
data_Ga5Pd2Pt2
_chemical_formula_sum 'Ga20 Pd8 Pt8'
_symmetry_space_group_name_H-M 'I m a 2'
_symmetry_Int_Tables_number 46
_symmetry_space_group_name_Hall 'I 2 -2a'
_cell_length_a 14.743
_cell_length_b 6.125
_cell_length_c 6.726
_cell_angle_alpha 90.00
_cell_angle_beta 90.00
_cell_angle_gamma 90.00
loop_
_atom_site_label
_atom_site_type_symbol
_atom_site_fract_x
_atom_site_fract_y
_atom_site_fract_z
Ga1 Ga 0.074 0.160 0.000
Ga2 Ga 0.163 0.634 0.824
Ga3 Ga 0.250 0.145 0.646
Pd1 Pd 0.094 0.530 0.173
Pt1 Pt 0.000 0.000 0.307
Pt2 Pt 0.250 0.522 0.493
```

# GaPd8Pt2 | the Alexandria database | GGA-PBE | relaxed
# ΔE to the lowest computed polymorph, meV per atom: 277
data_GaPd8Pt2
_chemical_formula_sum 'Ga2 Pd16 Pt4'
_symmetry_space_group_name_H-M 'C 1 2/m 1'
_symmetry_Int_Tables_number 12
_symmetry_space_group_name_Hall '-C 2y'
_cell_length_a 11.913
_cell_length_b 6.623
_cell_length_c 4.865
_cell_angle_alpha 90.00
_cell_angle_beta 105.96
_cell_angle_gamma 90.00
loop_
_atom_site_label
_atom_site_type_symbol
_atom_site_fract_x
_atom_site_fract_y
_atom_site_fract_z
Ga1 Ga 0.000 0.000 0.000
Pd1 Pd 0.065 0.301 0.790
Pd2 Pd 0.148 0.500 0.341
Pd3 Pd 0.229 0.000 0.074
Pt1 Pt 0.121 0.000 0.495

# GaPd6Pt3 | the Alexandria database | GGA-PBE | relaxed
# ΔE to the lowest computed polymorph, meV per atom: 145
data_GaPd6Pt3
_chemical_formula_sum 'Ga2 Pd12 Pt6'
_symmetry_space_group_name_H-M 'P 1 21/c 1'
_symmetry_Int_Tables_number 14
_symmetry_space_group_name_Hall '-P 2ybc'
_cell_length_a 7.355
_cell_length_b 5.918
_cell_length_c 10.438
_cell_angle_alpha 90.00
_cell_angle_beta 134.17
_cell_angle_gamma 90.00
loop_
_atom_site_label
_atom_site_type_symbol
_atom_site_fract_x
_atom_site_fract_y
_atom_site_fract_z
Ga1 Ga 0.000 0.000 0.000
Pd1 Pd 0.101 0.136 0.433
Pd2 Pd 0.280 0.608 0.451
Pd3 Pd 0.411 0.693 0.247
Pt1 Pt 0.208 0.216 0.739
Pt2 Pt 0.500 0.000 0.500

The following is a DFT calculation (GGA-PBE) of crystalline Ga2Pd8Pt3 at its relaxed geometry.

Geometry as CIF:
```
data_Ga2Pd8Pt3
_chemical_formula_sum 'Ga4 Pd16 Pt6'
_symmetry_space_group_name_H-M 'C 1 2/m 1'
_symmetry_Int_Tables_number 12
_symmetry_space_group_name_Hall '-C 2y'
_cell_length_a 17.025
_cell_length_b 5.524
_cell_length_c 4.792
_cell_angle_alpha 90.00
_cell_angle_beta 99.51
_cell_angle_gamma 90.00
loop_
_atom_site_label
_atom_site_type_symbol
_atom_site_fract_x
_atom_site_fract_y
_atom_site_fract_z
Ga1 Ga 0.249 0.000 0.333
Pd1 Pd 0.134 0.254 0.427
Pd2 Pd 0.136 0.500 0.932
Pd3 Pd 0.139 0.000 0.921
Pt1 Pt 0.000 0.000 0.500
Pt2 Pt 0.000 0.252 0.000
```

# GaPd2Pt2 | the Alexandria database | GGA-PBE | relaxed
# ΔE to the lowest computed polymorph, meV per atom: 0
data_GaPd2Pt2
_chemical_formula_sum 'Ga4 Pd8 Pt8'
_symmetry_space_group_name_H-M 'C 1 2/m 1'
_symmetry_Int_Tables_number 12
_symmetry_space_group_name_Hall '-C 2y'
_cell_length_a 5.474
_cell_length_b 8.631
_cell_length_c 7.285
_cell_angle_alpha 90.00
_cell_angle_beta 111.06
_cell_angle_gamma 90.00
loop_
_atom_site_label
_atom_site_type_symbol
_atom_site_fract_x
_atom_site_fract_y
_atom_site_fract_z
Ga1 Ga 0.000 0.171 0.000
Pd1 Pd 0.089 0.500 0.855
Pd2 Pd 0.234 0.000 0.458
Pt1 Pt 0.151 0.217 0.702

The following is a DFT calculation (GGA-PBE) of crystalline Ga2Pd5Pt at its relaxed geometry.

Geometry as CIF:
```
data_Ga2Pd5Pt
_chemical_formula_sum 'Ga4 Pd10 Pt2'
_symmetry_space_group_name_H-M 'P b a m'
_symmetry_Int_Tables_number 55
_symmetry_space_group_name_Hall '-P 2 2ab'
_cell_length_a 5.539
_cell_length_b 11.075
_cell_length_c 3.943
_cell_angle_alpha 90.00
_cell_angle_beta 90.00
_cell_angle_gamma 90.00
loop_
_atom_site_label
_atom_site_type_symbol
_atom_site_fract_x
_atom_site_fract_y
_atom_site_fract_z
Ga1 Ga 0.249 0.124 0.000
Pd1 Pd 0.000 0.500 0.500
Pd2 Pd 0.001 0.750 0.500
Pd3 Pd 0.249 0.374 0.000
Pt1 Pt 0.000 0.000 0.500
```

The following is a DFT calculation (GGA-PBE) of crystalline GaPd2Pt at its relaxed geometry.

Geometry as CIF:
```
data_GaPd2Pt
_chemical_formula_sum 'Ga8 Pd16 Pt8'
_symmetry_space_group_name_H-M 'F m m m'
_symmetry_Int_Tables_number 69
_symmetry_space_group_name_Hall '-F 2 2'
_cell_length_a 7.551
_cell_length_b 7.764
_cell_length_c 8.331
_cell_angle_alpha 90.00
_cell_angle_beta 90.00
_cell_angle_gamma 90.00
loop_
_atom_site_label
_atom_site_type_symbol
_atom_site_fract_x
_atom_site_fract_y
_atom_site_fract_z
Ga1 Ga 0.000 0.000 0.247
Pd1 Pd 0.000 0.193 0.000
Pd2 Pd 0.250 0.250 0.250
Pt1 Pt 0.192 0.000 0.500
```

Number 1: electronic total energy -0.383 Ry per atom, ΔH_f (0 K) -261 meV per atom. Number 2: electronic total energy -0.423 Ry per atom, ΔH_f (0 K) -294 meV per atom. Number 3: electronic total energy -0.389 Ry per atom, ΔH_f (0 K) -365 meV per atom. Number 4: electronic total energy -0.318 Ry per atom, ΔH_f (0 K) -390 meV per atom. Number 5: electronic total energy -0.386 Ry per atom, ΔH_f (0 K) -395 meV per atom. Number 6: electronic total energy -0.345 Ry per atom, ΔH_f (0 K) -520 meV per atom. Number 7: electronic total energy -0.372 Ry per atom, ΔH_f (0 K) 83 meV per atom. Number 8: electronic total energy -0.389 Ry per atom, ΔH_f (0 K) -59 meV per atom. Number 9: electronic total energy -0.378 Ry per atom, ΔH_f (0 K) -92 meV per atom. Number 10: electronic total energy -0.391 Ry per atom, ΔH_f (0 K) -224 meV per atom. Number 11: electronic total energy -0.383 Ry per atom, ΔH_f (0 K) -454 meV per atom. Number 12: electronic total energy -0.393 Ry per atom, ΔH_f (0 K) -480 meV per atom.